(1)
PBE with a Hubbard U AlCrO3, relaxed; N(E_F) = 2.41 states/eV per cell; E_tot = -7.3473 eV per atom; total magnetization = 6.0 μB per cell; SG = P6_3/mmc (194)
1.0
3.1809 0.0000 0.0000
-1.5904 2.7547 0.0000
0.0000 0.0000 11.7584
Al Cr O
2 2 6
Cartesian
0.0000 0.0000 0.0000 Al
0.0000 0.0000 5.8792 Al
0.0000 1.8365 2.9396 Cr
1.5904 0.9182 8.8188 Cr
0.0000 0.0000 2.9396 O
0.0000 0.0000 8.8188 O
0.0000 1.8365 0.9026 O
0.0000 1.8365 4.9766 O
1.5904 0.9182 6.7818 O
1.5904 0.9182 10.8559 O

(2)
PBE with a Hubbard U Al3CrO6, relaxed; N(E_F) = 0.00 states/eV per cell; E_tot = -7.5808 eV per atom; total magnetization = 6.0 μB per cell; SG = Pc (7)
1.0
5.2437 0.0000 0.0000
0.0000 4.8785 0.0000
-0.7119 0.0000 7.1477
Al Cr O
6 2 12
Cartesian
0.0000 0.0068 0.0000 Al
-0.3560 4.8717 3.5738 Al
2.3091 2.4310 3.5552 Al
1.9531 2.4474 7.1291 Al
4.5712 2.4265 2.0980 Al
4.2152 2.4520 5.6718 Al
1.5652 0.0091 5.6896 Cr
1.9212 4.8693 2.1158 Cr
-0.2961 0.7506 5.2996 O
0.0599 4.1278 1.7258 O
0.7961 1.5148 2.8683 O
0.4402 3.3637 6.4421 O
1.8168 0.8078 0.3138 O
1.4608 4.0707 3.8877 O
2.4076 1.7767 5.3058 O
2.7635 3.1018 1.7319 O
3.4780 0.9792 2.8819 O
3.1221 3.8992 6.4557 O
4.4729 1.6686 0.3589 O
4.1169 3.2099 3.9327 O

(3)
PBE with a Hubbard U Al2CrO, relaxed; N(E_F) = 2.06 states/eV per cell; E_tot = -5.1261 eV per atom; total magnetization = 0.6 μB per cell; SG = I-42d (122)
1.0
-2.9297 2.9297 3.4011
2.9297 -2.9297 3.4011
2.9297 2.9297 -3.4011
Al Cr O
4 2 2
Cartesian
4.3945 0.9233 -0.8503 Al
0.9233 1.4648 0.8503 Al
-1.4648 2.0063 2.5508 Al
2.0063 1.4648 4.2514 Al
2.9297 0.0000 1.7006 Cr
0.0000 0.0000 3.4011 Cr
0.0000 0.0000 0.0000 O
0.0000 2.9297 1.7006 O

(4)
PBE with a Hubbard U AlCrO3, relaxed; N(E_F) = 2.70 states/eV per cell; E_tot = -6.3649 eV per atom; total magnetization = 2.7 μB per cell; SG = Pm-3m (221)
1.0
3.7418 0.0000 0.0000
0.0000 3.7418 0.0000
0.0000 0.0000 3.7418
Al Cr O
1 1 3
Cartesian
0.0000 0.0000 0.0000 Al
1.8709 1.8709 1.8709 Cr
0.0000 1.8709 1.8709 O
1.8709 0.0000 1.8709 O
1.8709 1.8709 0.0000 O

(5)
PBE with a Hubbard U AlCr3O9, relaxed; E_tot = -6.9661 eV per atom; total magnetization = 6.0 μB per cell; SG = Cc (9)
1.0
6.9369 -3.4404 0.0000
6.9369 3.4404 0.0000
-5.8612 0.0000 8.1055
Al Cr O
2 6 18
Cartesian
4.0063 1.8132 4.0528 Al
6.9369 -1.8132 0.0000 Al
-0.8862 0.2037 6.1764 Cr
2.0444 -0.2037 2.1237 Cr
6.8323 0.5571 2.6138 Cr
3.9017 -0.5571 6.6666 Cr
11.0103 0.6931 1.4637 Cr
8.0797 -0.6931 5.5165 Cr
1.3387 0.5191 0.7890 O
2.7788 2.7260 5.1815 O
0.5932 1.0641 5.7562 O
-1.5919 -0.5191 4.8417 O
2.5505 0.8242 3.3400 O
5.2559 1.1137 2.8169 O
7.9282 1.9488 2.7701 O
-0.3801 -0.8242 7.3928 O
3.5238 -1.0641 1.7035 O
4.2641 0.4136 5.3420 O
7.1947 -0.4136 1.2892 O
4.1683 0.4454 8.0921 O
2.3253 -1.1137 6.8697 O
7.0989 -0.4454 4.0393 O
7.5918 0.2786 6.7746 O
5.7094 -2.7260 1.1288 O
10.5224 -0.2786 2.7219 O
4.9976 -1.9488 6.8228 O

(6)
PBE with a Hubbard U Al3CrO6, relaxed; N(E_F) = 0.00 states/eV per cell; E_tot = -7.5821 eV per atom; total magnetization = 3.0 μB per cell; SG = R3 (146)
1.0
2.4408 1.4092 4.4272
-2.4408 1.4092 4.4272
0.0000 -2.8184 4.4272
Al Cr O
3 1 6
Cartesian
0.0000 0.0000 0.0000 Al
0.0000 0.0000 2.6897 Al
0.0000 0.0000 6.6216 Al
0.0000 0.0000 9.3153 Cr
-0.6667 -1.5231 5.7905 O
-1.5257 -0.0187 7.9607 O
-0.9857 1.3390 5.7905 O
0.7790 -1.3119 7.9608 O
1.6524 0.1841 5.7905 O
0.7467 1.3306 7.9608 O

(7)
PBE with a Hubbard U Al2CrO5, relaxed; E_tot = -7.4220 eV per atom; total magnetization = 4.0 μB per cell; SG = C2/c (15)
1.0
4.7798 -2.4826 0.0000
4.7798 2.4826 0.0000
-2.5261 0.0000 6.3540
Al Cr O
4 2 10
Cartesian
0.6853 0.0564 1.3675 Al
-0.5778 -0.0564 4.5445 Al
7.6113 0.0564 1.8095 Al
6.3482 -0.0564 4.9865 Al
4.7798 0.0000 0.0000 Cr
3.5168 0.0000 3.1770 Cr
2.5778 1.7334 3.5175 O
0.8419 0.7552 5.3625 O
3.1927 1.7334 6.0135 O
4.1483 0.9953 1.5885 O
2.1050 -0.7552 2.1855 O
4.9285 0.7552 4.1685 O
2.8852 -0.9953 4.7655 O
3.8408 -1.7334 0.3405 O
6.1916 -0.7552 0.9915 O
4.4558 -1.7334 2.8365 O

(8)
PBE with a Hubbard U Al19CrO30, relaxed; N(E_F) = 0.00 states/eV per cell; E_tot = -7.5000 eV per atom; total magnetization = 3.0 μB per cell; SG = P1 (1)
1.0
4.8213 0.0000 0.0000
2.4095 4.5990 0.0000
0.0057 1.7235 19.9095
Al Cr O
19 1 30
Cartesian
0.0000 0.0000 0.0000 Al
2.4127 5.9513 17.1180 Al
2.4098 4.1996 5.9428 Al
2.4095 3.8202 3.1480 Al
2.4098 3.7920 11.9796 Al
2.4271 3.4284 9.1827 Al
2.4144 3.3912 17.9288 Al
2.4132 3.0194 15.1359 Al
2.4083 1.2594 3.9673 Al
2.4095 0.8916 1.1718 Al
2.4231 0.8689 9.9949 Al
4.8197 5.1004 7.1375 Al
4.8249 5.0582 15.9478 Al
4.8211 4.6841 13.1547 Al
4.8197 2.9294 1.9820 Al
4.8260 4.2840 19.0991 Al
4.8142 2.1481 5.1299 Al
4.8216 2.1265 13.9683 Al
4.8281 1.7574 11.1830 Al
4.8292 2.5566 7.9623 Cr
1.6763 4.2841 16.3103 O
0.7416 2.6172 18.2915 O
1.4770 3.4045 13.5601 O
0.9380 1.7394 15.5427 O
1.6639 2.5378 10.8008 O
3.1492 5.4614 12.7909 O
3.1584 4.6956 10.3518 O
1.7605 1.7420 8.3566 O
1.4706 0.8766 5.5521 O
3.3174 3.8547 7.5639 O
4.0831 4.5945 2.7934 O
3.1458 2.9300 4.7784 O
4.0819 3.8245 0.3639 O
3.1460 2.1575 2.3457 O
3.8896 4.6716 17.5245 O
3.3502 3.0039 19.5056 O
4.0855 3.7937 14.7773 O
3.1518 2.1259 16.7567 O
4.0808 3.0202 12.3539 O
3.1503 1.3506 14.3292 O
3.8650 2.1527 9.6478 O
5.7578 5.0675 11.5794 O
4.0571 1.2262 6.7100 O
5.6018 4.2311 8.7994 O
4.0839 0.4866 4.3103 O
5.5577 3.4294 6.2843 O
6.2945 4.2095 1.5750 O
5.7557 2.5382 3.5587 O
6.4981 5.0577 18.7379 O
5.5579 1.6653 0.8104 O